PBE CrCd3B, relaxed; symmetry = Pm-3m, No. 221; crystal system = cubic; distance to the lowest polymorph of the same formula = 784 meV per atom
1.0
5.243 0.000 0.000
0.000 5.243 0.000
0.000 0.000 5.243
Cr Cd B
1 3 1
Direct
0.000 0.000 0.000 Cr
0.000 0.000 0.500 Cd
0.000 0.500 0.000 Cd
0.500 0.000 0.000 Cd
0.500 0.500 0.500 B